AuIO after structural relaxation, computed with PBE.

Cell lengths 6.3355, 14.6878, 12.1284 Å; angles 90.00, 90.00, 90.00 degrees
Fractional coordinates of all 48 atoms:
Au 0.0846 0.0221 0.1162
Au 0.0846 0.4779 0.6162
Au 0.2478 0.6831 0.3504
Au 0.2478 0.8169 0.8504
Au 0.2522 0.1831 0.3504
Au 0.2522 0.3169 0.8504
Au 0.4154 0.5221 0.1162
Au 0.4154 0.9779 0.6162
Au 0.5846 0.0221 0.3838
Au 0.5846 0.4779 0.8838
Au 0.7478 0.6831 0.1496
Au 0.7478 0.8169 0.6496
Au 0.7522 0.1831 0.1496
Au 0.7522 0.3169 0.6496
Au 0.9154 0.5221 0.3838
Au 0.9154 0.9779 0.8838
I 0.1008 0.7115 0.0367
I 0.1008 0.7885 0.5367
I 0.1973 0.5949 0.7671
I 0.1973 0.9051 0.2671
I 0.3027 0.0949 0.7671
I 0.3027 0.4051 0.2671
I 0.3992 0.2115 0.0367
I 0.3992 0.2885 0.5367
I 0.6008 0.7115 0.4633
I 0.6008 0.7885 0.9633
I 0.6973 0.5949 0.7329
I 0.6973 0.9051 0.2329
I 0.8027 0.0949 0.7329
I 0.8027 0.4051 0.2329
I 0.8992 0.2115 0.4633
I 0.8992 0.2885 0.9633
O 0.0581 0.1386 0.2112
O 0.0581 0.3614 0.7112
O 0.0646 0.5862 0.5120
O 0.0646 0.9138 0.0120
O 0.4354 0.0862 0.5120
O 0.4354 0.4138 0.0120
O 0.4419 0.6386 0.2112
O 0.4419 0.8614 0.7112
O 0.5581 0.1386 0.2888
O 0.5581 0.3614 0.7888
O 0.5646 0.5862 0.9880
O 0.5646 0.9138 0.4880
O 0.9354 0.0862 0.9880
O 0.9354 0.4138 0.4880
O 0.9419 0.6386 0.2888
O 0.9419 0.8614 0.7888

As for the space group: Pbca, No. 61. For the excess energy over the best structure of this formula in the dataset, the calculation gives 0.03 eV per formula unit.

AuIO after structural relaxation, computed with PBE.

Cell lengths 6.1055, 5.6638, 8.3202 Å; angles 90.00, 109.37, 90.00 degrees
Fractional coordinates of all 12 atoms:
Au 0.1937 0.0891 0.3463
Au 0.1937 0.4109 0.8463
Au 0.8063 0.5891 0.1537
Au 0.8063 0.9109 0.6537
I 0.3714 0.7402 0.5565
I 0.3714 0.7598 0.0565
I 0.6286 0.2402 0.9435
I 0.6286 0.2598 0.4435
O 0.1090 0.0972 0.7128
O 0.1090 0.4028 0.2128
O 0.8910 0.5972 0.7872
O 0.8910 0.9028 0.2872

As for the space group: P2_1/c, No. 14. For the excess energy over the best structure of this formula in the dataset, the calculation gives 0.04 eV per formula unit.

AuIO after structural relaxation, computed with PBE.

Cell lengths 9.5841, 9.5841, 7.6919 Å; angles 100.70, 100.70, 23.49 degrees
Fractional coordinates of all 12 atoms:
Au 0.1787 0.1787 0.0622
Au 0.1900 0.1900 0.6213
Au 0.8100 0.8100 0.3787
Au 0.8213 0.8213 0.9378
I 0.0977 0.0977 0.3178
I 0.4188 0.4188 0.1263
I 0.5812 0.5812 0.8737
I 0.9023 0.9023 0.6822
O 0.2506 0.2506 0.8752
O 0.2842 0.2842 0.3883
O 0.7158 0.7158 0.6117
O 0.7494 0.7494 0.1248

As for the space group: C2/m, No. 12. For the excess energy over the best structure of this formula in the dataset, the calculation gives 0.00 eV per formula unit.

AuIO after structural relaxation, computed with PBE.

Cell lengths 3.7611, 4.2006, 8.8377 Å; angles 90.00, 90.00, 90.00 degrees
Fractional coordinates of all 6 atoms:
Au 0.2500 0.2500 0.1084
Au 0.7500 0.7500 0.8916
I 0.2500 0.7500 0.6627
I 0.7500 0.2500 0.3373
O 0.2500 0.7500 0.0469
O 0.7500 0.2500 0.9531

As for the space group: Pmmn, No. 59. For the excess energy over the best structure of this formula in the dataset, the calculation gives 0.05 eV per formula unit.

PbAuIO after structural relaxation, computed with PBE.

Cell lengths 8.0122, 4.2155, 13.2804 Å; angles 90.00, 90.00, 90.00 degrees
Fractional coordinates of all 16 atoms:
Pb 0.1876 0.2500 0.0209
Pb 0.3124 0.7500 0.5209
Pb 0.6876 0.2500 0.4791
Pb 0.8124 0.7500 0.9791
Au 0.0634 0.7500 0.7934
Au 0.4366 0.2500 0.2934
Au 0.5634 0.7500 0.7066
Au 0.9366 0.2500 0.2066
I 0.0134 0.2500 0.6622
I 0.4866 0.7500 0.1622
I 0.5134 0.2500 0.8378
I 0.9866 0.7500 0.3378
O 0.1031 0.7500 0.9541
O 0.3969 0.2500 0.4541
O 0.6031 0.7500 0.5459
O 0.8969 0.2500 0.0459

As for the final energy: -61.22 eV/cell. As for the space group: Pnma, No. 62.

Sr2AuIO6 after structural relaxation, computed with PBE.

Cell lengths 5.9231, 5.9231, 5.9231 Å; angles 121.93, 121.93, 86.70 degrees
Fractional coordinates of all 10 atoms:
Sr 0.2500 0.7500 0.5000
Sr 0.7500 0.2500 0.5000
Au 0.0000 0.0000 0.0000
I 0.5000 0.5000 0.0000
O 0.1993 0.6520 0.8514
O 0.2753 0.2753 0.0000
O 0.3480 0.1993 0.5473
O 0.6520 0.8007 0.4527
O 0.7247 0.7247 0.0000
O 0.8007 0.3480 0.1486

As for the final energy: -51.00 eV/cell. As for the space group: I4/m, No. 87.